# 1
This record from the Alexandria database describes a relaxed RbTiC2 crystal. The functional is PBE.

abc: 7.1016 7.1016 7.1016
angles: 134.53 134.53 66.26
Closest atoms and distances in Å follow each position.
Positions (direct):
Rb 0.0000 0.0000 0.0000  8 C 3.40-3.42
Rb 0.7500 0.2500 0.5000  8 C 3.40-3.42
Ti 0.2500 0.7500 0.5000  4 C 2.02
Ti 0.5000 0.5000 0.0000  4 C 2.02
C 0.3736 0.1250 0.7486  2 Ti 2.02
C 0.3750 0.6264 0.7514  2 Ti 2.02
C 0.3764 0.6250 0.2514  2 Ti 2.02
C 0.8750 0.6236 0.2486  2 Ti 2.02

Energy above the lowest structure with this stoichiometry, meV per atom: 0
Magnetic moment, μB per cell: 0.000
Uncorrected energy, eV/f.u.: -23.1
E_form, kJ per mole of atoms: 101.23


# 2
This record from the Alexandria database describes a relaxed RbTiC3 crystal. The functional is PBE.

abc: 4.2440 4.2440 4.2440
angles: 90.00 90.00 90.00
Closest atoms and distances in Å follow each position.
Positions (direct):
Rb 0.0000 0.0000 0.0000  12 C 3.00
Ti 0.5000 0.5000 0.5000  6 C 2.12
C 0.0000 0.5000 0.5000  2 Ti 2.12
C 0.5000 0.0000 0.5000  2 Ti 2.12
C 0.5000 0.5000 0.0000  2 Ti 2.12

Energy above the lowest structure with this stoichiometry, meV per atom: 0
Magnetic moment, μB per cell: 0.000
Uncorrected energy, eV/f.u.: -28.0
E_form, kJ per mole of atoms: 163.86


# 3
This record from the Alexandria database describes a relaxed RbTiC2 crystal. The functional is PBE.

abc: 4.3650 4.3650 4.3650
angles: 60.00 60.00 60.00
Closest atoms and distances in Å follow each position.
Positions (direct):
Rb 0.0000 0.0000 0.0000  8 C 2.67
Ti 0.5000 0.5000 0.5000  8 C 2.67
C 0.2500 0.2500 0.2500  4 Ti 2.67, 4 Rb 2.67
C 0.7500 0.7500 0.7500  4 Ti 2.67, 4 Rb 2.67

Energy above the lowest structure with this stoichiometry, meV per atom: 1321
Magnetic moment, μB per cell: 0.001
Uncorrected energy, eV/f.u.: -17.8
E_form, kJ per mole of atoms: 228.70


# 4
This record from the Alexandria database describes a relaxed RbTiC3 crystal. The functional is PBE.

abc: 4.2393 4.2393 4.2393
angles: 90.00 90.00 90.00
Closest atoms and distances in Å follow each position.
Positions (direct):
Rb 0.0000 0.0000 0.0000  6 C 2.12
Ti 0.5000 0.5000 0.5000  12 C 3.00
C 0.0000 0.0000 0.5000  2 Rb 2.12
C 0.0000 0.5000 0.0000  2 Rb 2.12
C 0.5000 0.0000 0.0000  2 Rb 2.12

Energy above the lowest structure with this stoichiometry, meV per atom: 2300
Magnetic moment, μB per cell: 0.000
Uncorrected energy, eV/f.u.: -16.5
E_form, kJ per mole of atoms: 385.76


# 5
This record from the Alexandria database describes a relaxed Rb2TiTlC crystal. The functional is PBE.

abc: 7.2269 7.2269 4.1066
angles: 90.00 90.00 90.00
Closest atoms and distances in Å follow each position.
Positions (direct):
Rb 0.0000 0.5000 0.0000  2 Tl 3.61
Rb 0.5000 0.0000 0.0000  2 Tl 3.61
Ti 0.0000 0.0000 0.5000  2 Ti 4.11, 8 Rb 4.16
Tl 0.5000 0.5000 0.0000  2 C 2.05
C 0.5000 0.5000 0.5000  2 Tl 2.05

Magnetic moment, μB per cell: 3.041
Uncorrected energy, eV/f.u.: -13.5
E_form, kJ per mole of atoms: 153.56


# 6
This record from the Alexandria database describes a relaxed RbTlC crystal. The functional is PBE.

abc: 5.5244 5.5244 7.2896
angles: 112.19 112.19 60.03
Closest atoms and distances in Å follow each position.
Positions (direct):
Rb 0.1118 0.1118 0.3344  3 C 3.22
Rb 0.8882 0.8882 0.6656  3 C 3.22
Tl 0.3426 0.3426 0.0242  1 C 2.49
Tl 0.6574 0.6574 0.9758  1 C 2.49
C 0.4684 0.4684 0.4037  1 C 1.26
C 0.5316 0.5316 0.5963  1 C 1.26

Magnetic moment, μB per cell: 0.000
Uncorrected energy, eV/f.u.: -11.8
E_form, kJ per mole of atoms: 24.35


# 7
This record from the Alexandria database describes a relaxed RbTl2C crystal. The functional is PBE.

abc: 5.3668 5.3668 5.3668
angles: 60.00 60.00 60.00
Closest atoms and distances in Å follow each position.
Positions (direct):
Rb 0.0000 0.0000 0.0000  8 Tl 3.29
Tl 0.2500 0.2500 0.2500  4 Rb 3.29, 4 C 3.29
Tl 0.7500 0.7500 0.7500  4 C 3.29, 4 Rb 3.29
C 0.5000 0.5000 0.5000  8 Tl 3.29

Energy above the lowest structure with this stoichiometry, meV per atom: 470
Magnetic moment, μB per cell: 0.001
Uncorrected energy, eV/f.u.: -9.3
E_form, kJ per mole of atoms: 136.62


# 8
This record from the Alexandria database describes a relaxed RbTl2C crystal. The functional is PBE.

abc: 6.9029 6.9029 6.9029
angles: 108.53 108.53 111.36
Closest atoms and distances in Å follow each position.
Positions (direct):
Rb 0.0000 0.0000 0.0000  8 Tl 3.67-3.82, 2 C 3.89
Rb 0.7500 0.2500 0.5000  8 Tl 3.67-3.82, 2 C 3.89
Tl 0.2594 0.6250 0.1344  2 C 2.42
Tl 0.3750 0.5094 0.6344  2 C 2.42
Tl 0.4906 0.1250 0.8656  2 C 2.42
Tl 0.8750 0.7406 0.3656  2 C 2.42
C 0.2500 0.7500 0.5000  4 Tl 2.42
C 0.5000 0.5000 0.0000  4 Tl 2.42

Energy above the lowest structure with this stoichiometry, meV per atom: 0
Magnetic moment, μB per cell: 0.000
Uncorrected energy, eV/f.u.: -11.1
E_form, kJ per mole of atoms: 91.26


# 9
This record from the Alexandria database describes a relaxed RbTlC crystal. The functional is PBE.

abc: 4.0305 7.0897 7.2348
angles: 102.48 90.04 90.03
Closest atoms and distances in Å follow each position.
Positions (direct):
Rb 0.0006 0.2193 0.2870  4 C 3.11-3.15
Rb 0.9994 0.7807 0.7130  4 C 3.11-3.15
Tl 0.4991 0.6628 0.1909  1 C 2.38
Tl 0.5009 0.3372 0.8091  1 C 2.38
C 0.5001 0.0710 0.9605  1 C 1.26
C 0.4999 0.9290 0.0395  1 C 1.26

Magnetic moment, μB per cell: 0.000
Uncorrected energy, eV/f.u.: -11.6
E_form, kJ per mole of atoms: 30.80


# 10
This record from the Alexandria database describes a relaxed RbTlC crystal. The functional is PBE.

abc: 4.0151 4.0151 11.2877
angles: 90.00 90.00 120.00
Closest atoms and distances in Å follow each position.
Positions (direct):
Rb 0.0000 0.0000 0.0000  6 C 3.55-3.75, 6 Tl 3.64-3.67
Rb 0.0000 0.0000 0.5000  6 C 3.55-3.75, 6 Tl 3.64-3.67
Tl 0.3333 0.6667 0.2483  3 C 2.32
Tl 0.6667 0.3333 0.7483  3 C 2.32
C 0.3333 0.6667 0.7385  3 Tl 2.32
C 0.6667 0.3333 0.2385  3 Tl 2.32

Magnetic moment, μB per cell: 0.000
Uncorrected energy, eV/f.u.: -9.3
E_form, kJ per mole of atoms: 104.00


# 11
This record from the Alexandria database describes a relaxed RbTlC crystal. The functional is PBE.

abc: 7.3340 7.3340 6.8559
angles: 113.89 113.89 37.16
Closest atoms and distances in Å follow each position.
Positions (direct):
Rb 0.1005 0.1005 0.3201  4 C 3.16-3.17
Rb 0.8995 0.8995 0.6799  4 C 3.16-3.17
Tl 0.3239 0.3239 0.1474  1 C 2.39
Tl 0.6761 0.6761 0.8526  1 C 2.39
C 0.4600 0.4600 0.0210  1 C 1.26
C 0.5400 0.5400 0.9790  1 C 1.26

Magnetic moment, μB per cell: 0.000
Uncorrected energy, eV/f.u.: -11.6
E_form, kJ per mole of atoms: 29.35


# 12
This record from the Alexandria database describes a relaxed Rb3TlC crystal. The functional is PBE.

abc: 6.1920 6.1920 6.1920
angles: 90.00 90.00 90.00
Closest atoms and distances in Å follow each position.
Positions (direct):
Rb 0.0000 0.0000 0.5000  2 C 3.10
Rb 0.0000 0.5000 0.0000  2 C 3.10
Rb 0.5000 0.0000 0.0000  2 C 3.10
Tl 0.5000 0.5000 0.5000  12 Rb 4.38
C 0.0000 0.0000 0.0000  6 Rb 3.10

Energy above the lowest structure with this stoichiometry, meV per atom: 0
Magnetic moment, μB per cell: 2.167
Uncorrected energy, eV/f.u.: -9.9
E_form, kJ per mole of atoms: 89.08


# 13
This record from the Alexandria database describes a relaxed RbTlC crystal. The functional is PBE.

abc: 8.4778 8.4778 5.3553
angles: 94.14 94.14 33.54
Closest atoms and distances in Å follow each position.
Positions (direct):
Rb 0.1556 0.1556 0.2288  2 C 3.07
Rb 0.8444 0.8444 0.7712  2 C 3.07
Tl 0.4316 0.4316 0.2286  2 C 2.53
Tl 0.5684 0.5684 0.7714  2 C 2.53
C 0.1299 0.8701 0.5000  1 C 1.27
C 0.8701 0.1299 0.5000  1 C 1.27

Magnetic moment, μB per cell: 0.000
Uncorrected energy, eV/f.u.: -11.4
E_form, kJ per mole of atoms: 38.53


# 14
This record from the Alexandria database describes a relaxed RbTlC crystal. The functional is PBE.

abc: 4.4057 4.4057 7.8166
angles: 90.00 90.00 90.00
Closest atoms and distances in Å follow each position.
Positions (direct):
Rb 0.2500 0.2500 0.1458  5 C 3.40-3.63, 4 Tl 3.54
Rb 0.7500 0.7500 0.8542  5 C 3.40-3.63, 4 Tl 3.54
Tl 0.2500 0.7500 0.5000  4 C 2.62
Tl 0.7500 0.2500 0.5000  4 C 2.62
C 0.2500 0.2500 0.6812  4 Tl 2.62
C 0.7500 0.7500 0.3188  4 Tl 2.62

Magnetic moment, μB per cell: 0.000
Uncorrected energy, eV/f.u.: -8.7
E_form, kJ per mole of atoms: 123.48


# 15
This record from the Alexandria database describes a relaxed RbTlC crystal. The functional is PBE.

abc: 6.7759 6.5464 6.5464
angles: 44.98 90.00 90.00
Closest atoms and distances in Å follow each position.
Positions (direct):
Rb 0.0000 0.0000 0.0000  4 C 3.21-3.50
Rb 0.5000 0.3951 0.3951  4 C 3.70, 4 Tl 3.80
Tl 0.2425 0.7073 0.7073  2 C 2.65
Tl 0.7575 0.7073 0.7073  2 C 2.65
C 0.0000 0.1566 0.4115  1 C 1.28
C 0.0000 0.4115 0.1566  1 C 1.28

Magnetic moment, μB per cell: 0.000
Uncorrected energy, eV/f.u.: -11.3
E_form, kJ per mole of atoms: 41.42


# 16
This record from the Alexandria database describes a relaxed RbTlC crystal. The functional is PBE.

abc: 7.8614 4.0408 10.7442
angles: 90.00 90.00 90.00
Closest atoms and distances in Å follow each position.
Positions (direct):
Rb 0.0037 0.2500 0.2000  4 C 3.39-3.54, 4 Tl 3.58-3.79
Rb 0.4963 0.7500 0.7000  4 C 3.39-3.54, 4 Tl 3.58-3.79
Rb 0.5037 0.2500 0.3000  4 C 3.39-3.54, 4 Tl 3.58-3.79
Rb 0.9963 0.7500 0.8000  4 C 3.39-3.54, 4 Tl 3.58-3.79
Tl 0.1582 0.7500 0.4763  2 C 2.30
Tl 0.3418 0.2500 0.9763  2 C 2.30
Tl 0.6582 0.7500 0.0237  2 C 2.30
Tl 0.8418 0.2500 0.5237  2 C 2.30
C 0.1652 0.2500 0.5791  2 Tl 2.30
C 0.3348 0.7500 0.0791  2 Tl 2.30
C 0.6652 0.2500 0.9209  2 Tl 2.30
C 0.8348 0.7500 0.4209  2 Tl 2.30

Magnetic moment, μB per cell: 0.935
Uncorrected energy, eV/f.u.: -9.0
E_form, kJ per mole of atoms: 114.81


# 17
This record from the Alexandria database describes a relaxed RbTlC crystal. The functional is PBE.

abc: 6.4963 4.4964 12.2965
angles: 90.00 90.00 90.00
Closest atoms and distances in Å follow each position.
Positions (direct):
Rb 0.0864 0.2500 0.1476  2 C 3.18-3.46
Rb 0.4136 0.7500 0.6476  2 C 3.18-3.46
Rb 0.5864 0.2500 0.3524  2 C 3.18-3.46
Rb 0.9136 0.7500 0.8524  2 C 3.18-3.46
Tl 0.0731 0.7500 0.4016  3 C 2.29-2.44
Tl 0.4269 0.2500 0.9016  3 C 2.29-2.44
Tl 0.5731 0.7500 0.0984  3 C 2.29-2.44
Tl 0.9269 0.2500 0.5984  3 C 2.29-2.44
C 0.1185 0.2500 0.4281  3 Tl 2.29-2.44
C 0.3815 0.7500 0.9281  3 Tl 2.29-2.44
C 0.6185 0.2500 0.0719  3 Tl 2.29-2.44
C 0.8815 0.7500 0.5719  3 Tl 2.29-2.44

Magnetic moment, μB per cell: 0.406
Uncorrected energy, eV/f.u.: -9.0
E_form, kJ per mole of atoms: 113.12


# 18
This record from the Alexandria database describes a relaxed RbTlC crystal. The functional is PBE.

abc: 7.0275 7.0275 6.7326
angles: 103.82 103.82 33.52
Closest atoms and distances in Å follow each position.
Positions (direct):
Rb 0.0000 0.0000 0.0000  4 C 3.12-3.31
Rb 0.2286 0.2286 0.6498  3 C 3.07-3.30
Tl 0.4757 0.4757 0.4573  2 C 2.35-2.43
Tl 0.7605 0.7605 0.1848  3 C 2.29-2.32
C 0.3373 0.3373 0.1467  3 Tl 2.32-2.43
C 0.6212 0.6212 0.3238  2 Tl 2.29-2.35

Magnetic moment, μB per cell: 1.920
Uncorrected energy, eV/f.u.: -8.9
E_form, kJ per mole of atoms: 116.74


# 19
This record from the Alexandria database describes a relaxed RbTlC crystal. The functional is PBE.

abc: 4.0128 4.0128 5.6514
angles: 90.00 90.00 120.00
Closest atoms and distances in Å follow each position.
Positions (direct):
Rb 0.0000 0.0000 0.0000  6 C 3.55-3.76, 6 Tl 3.64-3.67
Tl 0.3333 0.6667 0.5038  3 C 2.32
C 0.6667 0.3333 0.5244  3 Tl 2.32

Magnetic moment, μB per cell: 0.000
Uncorrected energy, eV/f.u.: -9.3
E_form, kJ per mole of atoms: 104.04


# 20
This record from the Alexandria database describes a relaxed RbTlC crystal. The functional is PBE.

abc: 5.3551 5.7258 7.6551
angles: 68.34 74.08 64.66
Closest atoms and distances in Å follow each position.
Positions (direct):
Rb 0.0000 0.0000 0.0000  4 C 2.98-3.30
Rb 0.1622 0.3116 0.3358  2 C 3.15-3.27
Tl 0.4350 0.5062 0.6801  1 C 2.58
Tl 0.7606 0.8501 0.6626  2 C 2.73-2.87
C 0.5422 0.5371 0.9777  1 C 1.27
C 0.6763 0.5915 0.0621  1 C 1.27

Magnetic moment, μB per cell: 0.000
Uncorrected energy, eV/f.u.: -11.5
E_form, kJ per mole of atoms: 34.18